[1]
Here is a relaxed Pm2Ho2Tl3 crystal from the Alexandria database. Energies are from PBE.

E_form   -166 kJ/mol of formula units
Polymorph energy (0 for the lowest one)   0 meV/atom
Crystal system   monoclinic
Density   10.07 g cm⁻³

Unit cell a=6.499 b=6.499 c=8.651 alpha=94.59 beta=94.59 gamma=33.95
Fractional positions:
Pm 0.205 0.205 0.158
Pm 0.795 0.795 0.842
Ho 0.063 0.063 0.715
Ho 0.937 0.937 0.285
Tl 0.353 0.353 0.544
Tl 0.500 0.500 0.000
Tl 0.647 0.647 0.456

=====

[2]
Here is a relaxed CeSm2Ge3Pt4 crystal from the Alexandria database. Energies are from PBE.

E_form   -878 kJ/mol of formula units
Crystal system   tetragonal
Density   11.41 g cm⁻³

Unit cell a=4.332 b=4.332 c=11.161 alpha=90.00 beta=90.00 gamma=90.00
Fractional positions:
Ce 0.000 0.000 0.000
Sm 0.000 0.500 0.717
Sm 0.500 0.000 0.283
Ge 0.000 0.500 0.378
Ge 0.500 0.000 0.622
Ge 0.500 0.500 0.000
Pt 0.000 0.000 0.500
Pt 0.000 0.500 0.158
Pt 0.500 0.000 0.842
Pt 0.500 0.500 0.500